No. 1
First-principles (PBE-GGA) data for a relaxed Pr5Er2Ga4 crystal, as listed in Alexandria via LeMat-Bulk.

Cell: 4.799 11.324 9.095 Å, 128.50 105.30 90.00°
Fractional positions:
Pr 0.151 0.483 0.302
Pr 0.849 0.517 0.698
Pr 0.151 0.819 0.302
Pr 0.500 0.000 0.000
Pr 0.849 0.181 0.698
Er 0.805 0.805 0.610
Er 0.195 0.195 0.390
Ga 0.593 0.593 0.186
Ga 0.000 0.140 0.000
Ga 0.407 0.407 0.814
Ga 0.000 0.860 0.000

Summary:
density of states at the Fermi level	1.371	states/eV per atom
electronic total energy	-4.150	eV/atom
SG	No. 71
calculated volume	33.10	Å³/atom
energy of formation from the pure elements	-47.4	meV per atom

=====

No. 2
First-principles (PBE-GGA) data for a relaxed Ca2LaHg8 crystal, as listed in Alexandria via LeMat-Bulk.

Cell: 5.207 7.910 8.602 Å, 117.37 107.62 90.00°
Fractional positions:
Ca 0.206 0.706 0.412
Ca 0.794 0.294 0.588
La 0.500 0.000 0.000
Hg 0.643 0.838 0.286
Hg 0.357 0.552 0.714
Hg 0.154 0.154 0.308
Hg 0.000 0.304 0.000
Hg 0.846 0.846 0.692
Hg 0.643 0.448 0.286
Hg 0.357 0.162 0.714
Hg 0.000 0.696 0.000

Summary:
density of states at the Fermi level	0.575	states/eV per atom
electronic total energy	-1.398	eV/atom
SG	No. 71
calculated volume	26.89	Å³/atom
energy of formation from the pure elements	-366.9	meV per atom

=====

No. 3
First-principles (PBE-GGA) data for a relaxed BaAcPO crystal, as listed in Alexandria via LeMat-Bulk.

Cell: 4.233 4.233 7.374 Å, 73.32 73.32 60.00°
Fractional positions:
Ba 0.501 0.501 0.497
Ac 0.988 0.988 0.035
P 0.744 0.744 0.769
O 0.267 0.267 0.199

Summary:
electronic total energy	-5.975	eV/atom
energy relative to the elements, uncorrected	-7.5	eV per formula unit
SG	No. 160
calculated volume	26.99	Å³/atom

=====

No. 4
First-principles (PBE-GGA) data for a relaxed ZnAuF2 crystal, as listed in Alexandria via LeMat-Bulk.

Cell: 4.244 4.244 4.244 Å, 60.00 60.00 60.00°
Fractional positions:
Zn 0.000 0.000 0.000
Au 0.500 0.500 0.500
F 0.250 0.250 0.250
F 0.750 0.750 0.750

Summary:
density of states at the Fermi level	0.235	states/eV per atom
electronic total energy	-2.826	eV/atom
energy relative to the elements, uncorrected	-3.0	eV per formula unit
SG	No. 225
calculated volume	13.51	Å³/atom

=====

No. 5
First-principles (PBE-GGA) data for a relaxed Rb2SnSb3 crystal, as listed in Alexandria via LeMat-Bulk.

Cell: 5.346 8.201 22.811 Å, 90.00 90.00 90.00°
Fractional positions:
Rb 0.250 0.641 0.582
Rb 0.750 0.859 0.082
Rb 0.250 0.141 0.918
Rb 0.750 0.359 0.418
Rb 0.250 0.638 0.805
Rb 0.750 0.862 0.305
Rb 0.250 0.138 0.695
Rb 0.750 0.362 0.195
Sn 0.250 0.956 0.441
Sn 0.750 0.544 0.941
Sn 0.250 0.456 0.059
Sn 0.750 0.044 0.559
Sb 0.250 0.707 0.971
Sb 0.750 0.793 0.471
Sb 0.250 0.207 0.529
Sb 0.750 0.293 0.029
Sb 0.250 0.039 0.195
Sb 0.750 0.461 0.695
Sb 0.250 0.539 0.305
Sb 0.750 0.961 0.805
Sb 0.250 0.691 0.192
Sb 0.750 0.809 0.692
Sb 0.250 0.191 0.308
Sb 0.750 0.309 0.808

Summary:
density of states at the Fermi level	0.344	states/eV per atom
electronic total energy	-3.303	eV/atom
energy relative to the elements, uncorrected	-1.5	eV per formula unit
SG	No. 62
calculated volume	41.67	Å³/atom

=====

No. 6
First-principles (PBE-GGA) data for a relaxed Sc5Rh2 crystal, as listed in Alexandria via LeMat-Bulk.

Cell: 6.081 6.678 7.963 Å, 96.27 112.45 90.00°
Fractional positions:
Sc 0.222 0.423 0.185
Sc 0.037 0.077 0.815
Sc 0.215 0.689 0.554
Sc 0.661 0.811 0.446
Sc 0.785 0.311 0.446
Sc 0.339 0.189 0.554
Sc 0.963 0.923 0.185
Sc 0.778 0.577 0.815
Sc 0.572 0.250 0.000
Sc 0.428 0.750 0.000
Rh 0.172 0.434 0.779
Rh 0.392 0.066 0.221
Rh 0.828 0.566 0.221
Rh 0.608 0.934 0.779

Summary:
density of states at the Fermi level	1.083	states/eV per atom
electronic total energy	-7.228	eV/atom
SG	No. 15
calculated volume	21.20	Å³/atom
energy of formation from the pure elements	-605.4	meV per atom

=====

No. 7
First-principles (PBE-GGA) data for a relaxed Be2BiN crystal, as listed in Alexandria via LeMat-Bulk.

Cell: 4.290 4.290 4.290 Å, 60.00 60.00 60.00°
Fractional positions:
Be 0.250 0.250 0.250
Be 0.750 0.750 0.750
Bi 0.500 0.500 0.500
N 0.000 0.000 0.000

Summary:
density of states at the Fermi level	0.691	states/eV per atom
electronic total energy	-3.358	eV/atom
energy relative to the elements, uncorrected	6.2	eV per formula unit
SG	No. 225
calculated volume	13.96	Å³/atom

=====

No. 8
First-principles (PBE-GGA) data for a relaxed RbGaSe2N crystal, as listed in Alexandria via LeMat-Bulk.

Cell: 6.249 6.249 5.386 Å, 90.00 90.00 90.00°
Last column: magnetic moment on the atom in μB.
Fractional positions:
Ga 0.500 0.500 0.500  -0.02
Se 0.000 0.500 0.000  0.68
Se 0.500 0.000 0.000  0.68
Rb 0.000 0.000 0.000  0.08
N 0.000 0.000 0.500  1.78

Summary:
density of states at the Fermi level	0.922	states/eV per atom
electronic total energy	-2.480	eV/atom
energy relative to the elements, uncorrected	6.9	eV per formula unit
SG	No. 123
calculated volume	42.06	Å³/atom

=====

Result set for total moment: 0.028, 0.000, 0.000, 0.000, 0.000, 0.000, 0.000, 5.016 μB/cell, one per record in the order listed.